1.
NaThCd2, optimized geometry, DFT PBE; energy relative to the lowest polymorph listed for this composition = 0.053 eV per atom; formation enthalpy at 0 K = 0.0 kcal/mol of atoms; total magnetization = 0.00 μB/cell; calculated volume = 109.8 Å³/cell
1.0
1.687 0.974 11.142
-1.687 0.974 11.142
0.000 -1.948 11.142
Na Th Cd
1 1 2
Cartesian
0.000 0.000 0.000 Na
0.000 0.000 16.713 Th
0.000 0.000 8.407 Cd
0.000 0.000 25.020 Cd

---

2.
Na2ThCd3, optimized geometry, DFT PBE; formation enthalpy at 0 K = -1.3 kcal/mol of atoms; total magnetization = 0.00 μB/cell; calculated volume = 160.0 Å³/cell
1.0
3.403 0.000 0.000
0.000 3.403 0.000
0.000 0.000 13.819
Na Th Cd
2 1 3
Cartesian
0.000 0.000 2.269 Na
0.000 0.000 11.550 Na
0.000 0.000 6.910 Th
1.701 1.701 0.000 Cd
1.701 1.701 4.534 Cd
1.701 1.701 9.285 Cd

---

3.
NaThCd2, optimized geometry, DFT PBE; energy relative to the lowest polymorph listed for this composition = 0.030 eV per atom; formation enthalpy at 0 K = -0.6 kcal/mol of atoms; total magnetization = 0.00 μB/cell; calculated volume = 110.0 Å³/cell
1.0
11.105 0.000 0.000
0.000 1.691 2.929
0.000 -1.691 2.929
Na Th Cd
1 1 2
Cartesian
0.000 0.000 0.000 Na
5.553 0.000 3.912 Th
2.733 0.000 1.958 Cd
8.372 0.000 1.958 Cd

---

4.
NaTh2Cd, optimized geometry, DFT PBE; formation enthalpy at 0 K = 4.6 kcal/mol of atoms; total magnetization = 0.00 μB/cell; calculated volume = 125.8 Å³/cell
1.0
1.682 0.971 12.832
-1.682 0.971 12.832
0.000 -1.942 12.832
Na Th Cd
1 2 1
Cartesian
0.000 0.000 0.000 Na
0.000 0.000 3.597 Th
0.000 0.000 34.900 Th
0.000 0.000 19.248 Cd

---

5.
Na2ThCd, optimized geometry, DFT PBE; formation enthalpy at 0 K = 4.7 kcal/mol of atoms; total magnetization = 0.00 μB/cell; calculated volume = 121.2 Å³/cell
1.0
1.673 0.966 12.505
-1.673 0.966 12.505
0.000 -1.931 12.505
Na Th Cd
2 1 1
Cartesian
0.000 0.000 3.496 Na
0.000 0.000 34.018 Na
0.000 0.000 0.000 Th
0.000 0.000 18.757 Cd

---

6.
NaThCd, optimized geometry, DFT PBE; formation enthalpy at 0 K = 0.6 kcal/mol of atoms; total magnetization = 0.00 μB/cell; calculated volume = 180.1 Å³/cell
1.0
3.486 0.000 0.000
1.709 3.039 0.000
1.653 1.002 16.997
Na Th Cd
2 2 2
Cartesian
0.000 0.000 0.000 Na
3.396 1.983 13.787 Na
3.382 1.973 8.387 Th
5.196 3.039 5.425 Th
1.757 1.029 2.625 Cd
5.143 3.003 11.155 Cd

---

7.
NaTh2Cd6, optimized geometry, DFT PBE; formation enthalpy at 0 K = -3.7 kcal/mol of atoms; total magnetization = 0.00 μB/cell; calculated volume = 229.6 Å³/cell
1.0
8.883 0.000 0.000
-4.442 7.693 0.000
0.000 0.000 3.360
Na Th Cd
1 2 6
Cartesian
0.000 0.000 0.000 Na
0.000 5.129 0.000 Th
4.442 2.564 0.000 Th
-1.470 2.545 1.680 Cd
-2.972 5.148 1.680 Cd
2.939 0.000 1.680 Cd
1.470 2.545 1.680 Cd
5.944 0.000 1.680 Cd
2.972 5.148 1.680 Cd

---

8.
NaThCd2, optimized geometry, DFT PBE; energy relative to the lowest polymorph listed for this composition = 0.000 eV per atom; formation enthalpy at 0 K = -1.3 kcal/mol of atoms; total magnetization = 0.00 μB/cell; calculated volume = 106.6 Å³/cell
1.0
3.337 0.000 0.000
0.000 3.337 0.000
0.000 0.000 9.574
Na Th Cd
1 1 2
Cartesian
0.000 0.000 0.000 Na
0.000 0.000 4.787 Th
1.669 1.669 2.336 Cd
1.669 1.669 7.238 Cd

---

9.
NaThCd2, optimized geometry, DFT PBE; energy relative to the lowest polymorph listed for this composition = 0.025 eV per atom; formation enthalpy at 0 K = -0.7 kcal/mol of atoms; total magnetization = 0.00 μB/cell; calculated volume = 110.2 Å³/cell
1.0
5.710 0.000 0.000
0.000 5.710 0.000
0.000 0.000 3.378
Na Th Cd
1 1 2
Cartesian
0.000 0.000 0.000 Na
2.855 2.855 0.000 Th
0.000 2.855 1.689 Cd
2.855 0.000 1.689 Cd

---

10.
NaThCd2, optimized geometry, DFT PBE; energy relative to the lowest polymorph listed for this composition = 0.068 eV per atom; formation enthalpy at 0 K = 0.3 kcal/mol of atoms; total magnetization = 0.00 μB/cell; calculated volume = 106.8 Å³/cell
1.0
0.000 3.766 3.766
3.766 0.000 3.766
3.766 3.766 0.000
Na Th Cd
1 1 2
Cartesian
0.000 0.000 0.000 Na
3.766 3.766 3.766 Th
1.883 1.883 1.883 Cd
5.649 5.649 5.649 Cd

---

11.
NaThCd17, optimized geometry, DFT PBE; formation enthalpy at 0 K = -1.2 kcal/mol of atoms; total magnetization = 0.00 μB/cell; calculated volume = 448.9 Å³/cell
1.0
5.070 2.927 5.041
-5.070 2.927 5.041
0.000 -5.854 5.041
Na Th Cd
1 1 17
Cartesian
0.000 0.000 0.000 Na
0.000 0.000 10.156 Th
-1.526 -2.650 5.156 Cd
-3.058 0.003 5.156 Cd
-2.419 -1.397 8.004 Cd
0.000 0.000 3.753 Cd
0.000 -3.133 7.617 Cd
-2.714 1.567 7.617 Cd
1.526 -2.650 5.156 Cd
-1.532 2.646 5.156 Cd
0.000 0.000 6.732 Cd
-2.187 -1.263 12.479 Cd
3.058 0.003 5.156 Cd
1.532 2.646 5.156 Cd
2.419 -1.397 8.004 Cd
0.000 2.793 8.004 Cd
2.714 1.567 7.617 Cd
2.187 -1.263 12.479 Cd
0.000 2.525 12.479 Cd

---

12.
NaThTlCd, optimized geometry, DFT PBE; formation enthalpy at 0 K = -0.8 kcal/mol of atoms; total magnetization = 0.00 μB/cell; calculated volume = 110.2 Å³/cell
1.0
0.000 3.806 3.806
3.806 0.000 3.806
3.806 3.806 0.000
Na Th Tl Cd
1 1 1 1
Cartesian
0.000 0.000 0.000 Na
3.806 3.806 3.806 Th
1.903 1.903 1.903 Tl
5.709 5.709 5.709 Cd

---

13.
Na2TiCd2, optimized geometry, DFT PBE; energy relative to the lowest polymorph listed for this composition = 0.033 eV per atom; formation enthalpy at 0 K = 9.0 kcal/mol of atoms; total magnetization = 0.00 μB/cell; calculated volume = 115.8 Å³/cell
1.0
-1.945 1.945 7.652
1.945 -1.945 7.652
1.945 1.945 -7.652
Na Ti Cd
2 1 2
Cartesian
1.945 0.000 3.826 Na
0.000 1.945 3.826 Na
0.000 0.000 0.000 Ti
0.000 0.000 6.262 Cd
0.000 0.000 9.042 Cd

---

14.
Na3TiCd, optimized geometry, DFT PBE; energy relative to the lowest polymorph listed for this composition = 0.062 eV per atom; formation enthalpy at 0 K = 23.0 kcal/mol of atoms; total magnetization = 3.58 μB/cell; calculated volume = 214.6 Å³/cell
1.0
5.987 0.000 0.000
0.000 5.987 0.000
0.000 0.000 5.987
Na Ti Cd
3 1 1
Cartesian
0.000 0.000 2.993 Na
0.000 2.993 0.000 Na
2.993 0.000 0.000 Na
0.000 0.000 0.000 Ti
2.993 2.993 2.993 Cd

---

15.
NaTi2Cd, optimized geometry, DFT PBE; formation enthalpy at 0 K = 14.5 kcal/mol of atoms; total magnetization = 0.00 μB/cell; calculated volume = 166.5 Å³/cell
1.0
-1.946 1.946 10.997
1.946 -1.946 10.997
1.946 1.946 -10.997
Na Ti Cd
2 4 2
Cartesian
0.000 0.000 0.000 Na
0.000 1.946 5.499 Na
0.973 -0.913 8.248 Ti
1.033 0.973 2.749 Ti
0.973 2.859 -2.749 Ti
0.913 0.973 13.747 Ti
1.946 0.000 5.499 Cd
0.000 0.000 10.997 Cd

---

16.
Na3TiCd, optimized geometry, DFT PBE; energy relative to the lowest polymorph listed for this composition = 0.000 eV per atom; formation enthalpy at 0 K = 21.6 kcal/mol of atoms; total magnetization = 0.12 μB/cell; calculated volume = 176.8 Å³/cell
1.0
5.613 0.000 0.000
0.000 5.613 0.000
0.000 0.000 5.613
Na Ti Cd
3 1 1
Cartesian
0.000 0.000 2.806 Na
0.000 2.806 0.000 Na
2.806 0.000 0.000 Na
2.806 2.806 2.806 Ti
0.000 0.000 0.000 Cd

---

17.
Na2TiCd2, optimized geometry, DFT PBE; energy relative to the lowest polymorph listed for this composition = 0.000 eV per atom; formation enthalpy at 0 K = 8.2 kcal/mol of atoms; total magnetization = 4.77 μB/cell; calculated volume = 245.9 Å³/cell
1.0
8.403 0.000 0.000
0.000 8.403 0.000
0.000 0.000 3.483
Na Ti Cd
4 2 4
Cartesian
1.150 3.052 0.000 Na
3.052 7.253 0.000 Na
5.351 1.150 0.000 Na
7.253 5.351 0.000 Na
0.000 0.000 1.741 Ti
4.201 4.201 1.741 Ti
1.405 5.606 1.741 Cd
2.796 1.405 1.741 Cd
5.606 6.998 1.741 Cd
6.998 2.796 1.741 Cd

---

18.
Na3Tl4Cd, optimized geometry, DFT PBE; formation enthalpy at 0 K = -2.1 kcal/mol of atoms; total magnetization = 0.00 μB/cell; calculated volume = 442.6 Å³/cell
1.0
10.538 0.000 0.000
0.000 7.973 0.000
0.000 0.000 5.268
Na Tl Cd
6 8 2
Cartesian
0.000 0.000 0.000 Na
2.634 0.000 2.629 Na
2.634 3.987 2.628 Na
5.269 0.000 0.000 Na
7.903 0.000 2.639 Na
7.903 3.987 2.640 Na
0.000 2.066 2.634 Tl
0.000 5.908 2.634 Tl
2.634 2.067 5.262 Tl
2.634 5.907 5.262 Tl
5.269 2.066 2.634 Tl
5.269 5.908 2.634 Tl
7.903 2.067 0.005 Tl
7.903 5.907 0.005 Tl
0.000 3.987 0.000 Cd
5.269 3.987 0.000 Cd

---

19.
Na3Tl8Cd2, optimized geometry, DFT PBE; energy relative to the lowest polymorph listed for this composition = 0.057 eV per atom; formation enthalpy at 0 K = 0.4 kcal/mol of atoms; total magnetization = 0.00 μB/cell; calculated volume = 411.3 Å³/cell
1.0
3.203 1.849 11.577
-3.203 1.849 11.577
0.000 -3.698 11.577
Na Tl Cd
3 8 2
Cartesian
0.000 0.000 0.000 Na
0.000 0.000 6.478 Na
0.000 0.000 28.253 Na
-1.605 -0.927 19.483 Tl
0.000 -1.853 15.249 Tl
-1.605 0.927 15.249 Tl
0.000 0.000 9.683 Tl
0.000 0.000 25.049 Tl
1.605 -0.927 19.483 Tl
0.000 1.853 19.483 Tl
1.605 0.927 15.249 Tl
0.000 0.000 12.616 Cd
0.000 0.000 22.115 Cd

---

20.
Na5Tl2Cd2, optimized geometry, DFT PBE; energy relative to the lowest polymorph listed for this composition = 0.066 eV per atom; formation enthalpy at 0 K = -0.4 kcal/mol of atoms; total magnetization = 0.00 μB/cell; calculated volume = 546.3 Å³/cell
1.0
8.320 -4.052 0.000
8.320 4.052 0.000
0.000 0.000 8.103
Na Tl Cd
10 4 4
Cartesian
0.000 0.000 0.000 Na
6.053 2.539 5.561 Na
6.053 1.513 1.510 Na
10.586 2.539 5.561 Na
10.586 1.513 1.510 Na
8.320 0.000 4.051 Na
6.053 -1.513 6.593 Na
6.053 -2.539 2.542 Na
10.586 -1.513 6.593 Na
10.586 -2.539 2.542 Na
3.673 0.000 0.000 Tl
4.647 0.000 4.051 Tl
11.992 0.000 4.051 Tl
12.967 0.000 0.000 Tl
8.320 3.052 3.043 Cd
8.320 1.000 7.094 Cd
8.320 -1.000 1.009 Cd
8.320 -3.052 5.060 Cd